The following is a PBE calculation of a relaxed structure of BeIn5Br8, from Alexandria via LeMat-Bulk.

Calculated values
Magnetization in μB per formula unit: 0.0
Energy relative to the elements, uncorrected in eV/atom: -0.697
Calculated total energy in eV per atom: -2.897

Lattice parameters (Å, degrees): 8.923 8.923 8.923 90.03 119.98 119.98
Fractional coordinates of all 14 atoms:
Be 0.500 0.750 0.250
In 0.768 0.656 0.881
In 0.226 0.112 0.344
In 0.232 0.114 0.888
In 0.000 0.500 0.500
In 0.774 0.119 0.886
Br 0.300 0.447 0.151
Br 0.704 0.853 0.553
Br 0.746 0.374 0.117
Br 0.744 0.372 0.626
Br 0.256 0.883 0.629
Br 0.296 0.849 0.149
Br 0.700 0.851 0.147
Br 0.254 0.371 0.628

=====

The following is a PBE calculation of a relaxed structure of KBeInBr4, from Alexandria via LeMat-Bulk.

Calculated values
Magnetization in μB per formula unit: 0.0
Energy relative to the elements, uncorrected in eV/atom: -1.145
Calculated total energy in eV per atom: -3.181

Lattice parameters (Å, degrees): 7.083 7.257 9.480 90.00 107.88 90.00
Fractional coordinates of all 14 atoms:
K 0.784 0.750 0.463
K 0.216 0.250 0.537
Be 0.195 0.750 0.282
Be 0.805 0.250 0.718
In 0.727 0.750 0.933
In 0.273 0.250 0.067
Br 0.003 0.492 0.779
Br 0.997 0.992 0.221
Br 0.997 0.508 0.221
Br 0.003 0.008 0.779
Br 0.407 0.750 0.156
Br 0.593 0.250 0.844
Br 0.335 0.750 0.523
Br 0.665 0.250 0.477

=====

The following is a PBE calculation of a relaxed structure of BeInBrO2, from Alexandria via LeMat-Bulk.

Calculated values
Magnetization in μB per formula unit: 0.0
Energy relative to the elements, uncorrected in eV/atom: 0.084
Calculated total energy in eV per atom: -3.527

Lattice parameters (Å, degrees): 3.960 6.807 3.960 90.00 90.00 90.00
Fractional coordinates of all 5 atoms:
Be 0.000 0.500 0.000
O 0.000 0.000 0.500
O 0.500 0.000 0.000
Br 0.500 0.500 0.500
In 0.000 0.000 0.000

=====

The following is a PBE calculation of a relaxed structure of RbBe2InBr6, from Alexandria via LeMat-Bulk.

Calculated values
Magnetization in μB per formula unit: 0.0
Energy relative to the elements, uncorrected in eV/atom: -1.070
Calculated total energy in eV per atom: -3.190

Lattice parameters (Å, degrees): 9.160 9.160 10.360 102.59 102.59 103.95
Fractional coordinates of all 20 atoms:
Rb 0.182 0.818 0.250
Rb 0.818 0.182 0.750
Be 0.342 0.145 0.713
Be 0.855 0.658 0.787
Be 0.658 0.855 0.287
Be 0.145 0.342 0.213
In 0.585 0.415 0.250
In 0.415 0.585 0.750
Br 0.930 0.368 0.129
Br 0.632 0.070 0.371
Br 0.070 0.632 0.871
Br 0.368 0.930 0.629
Br 0.218 0.157 0.120
Br 0.843 0.782 0.380
Br 0.782 0.843 0.880
Br 0.157 0.218 0.620
Br 0.307 0.518 0.385
Br 0.482 0.693 0.115
Br 0.693 0.482 0.615
Br 0.518 0.307 0.885

=====

The following is a PBE calculation of a relaxed structure of Be2TlInBr6, from Alexandria via LeMat-Bulk.

Calculated values
Magnetization in μB per formula unit: 0.0
Energy relative to the elements, uncorrected in eV/atom: -0.873
Calculated total energy in eV per atom: -3.133

Lattice parameters (Å, degrees): 8.980 8.980 10.479 101.23 101.23 107.63
Fractional coordinates of all 20 atoms:
Be 0.334 0.144 0.721
Be 0.856 0.666 0.779
Be 0.666 0.856 0.279
Be 0.144 0.334 0.221
Tl 0.201 0.799 0.250
Tl 0.799 0.201 0.750
In 0.594 0.406 0.250
In 0.406 0.594 0.750
Br 0.933 0.363 0.126
Br 0.637 0.067 0.374
Br 0.067 0.637 0.874
Br 0.363 0.933 0.626
Br 0.213 0.143 0.139
Br 0.857 0.787 0.361
Br 0.787 0.857 0.861
Br 0.143 0.213 0.639
Br 0.307 0.518 0.390
Br 0.482 0.693 0.110
Br 0.693 0.482 0.610
Br 0.518 0.307 0.890

=====

The following is a PBE calculation of a relaxed structure of BeIr2Br, from Alexandria via LeMat-Bulk.

Calculated values
Polymorph energy (0 for the lowest one) in eV/atom: 0.2328
Magnetization in μB per formula unit: 0.0
Energy relative to the elements, uncorrected in eV/atom: 0.506
Calculated total energy in eV per atom: -5.275

Lattice parameters (Å, degrees): 2.852 3.567 6.148 90.00 90.00 90.00
Fractional coordinates of all 4 atoms:
Be 0.000 0.000 0.399
Ir 0.000 0.000 0.044
Ir 0.500 0.500 0.317
Br 0.500 0.500 0.741

=====

The following is a PBE calculation of a relaxed structure of BeIrBr2, from Alexandria via LeMat-Bulk.

Calculated values
Polymorph energy (0 for the lowest one) in eV/atom: 0.7386
Magnetization in μB per formula unit: 0.0
Energy relative to the elements, uncorrected in eV/atom: 0.749
Calculated total energy in eV per atom: -3.235

Lattice parameters (Å, degrees): 3.401 3.401 7.778 90.00 90.00 124.85
Fractional coordinates of all 4 atoms:
Be 0.500 0.500 0.750
Ir 0.500 0.500 0.250
Br 0.000 0.000 0.959
Br 0.000 0.000 0.541

=====

The following is a PBE calculation of a relaxed structure of BeIr2Br, from Alexandria via LeMat-Bulk.

Calculated values
Polymorph energy (0 for the lowest one) in eV/atom: 0.1004
Magnetization in μB per formula unit: 0.0
Energy relative to the elements, uncorrected in eV/atom: 0.373
Calculated total energy in eV per atom: -5.407

Lattice parameters (Å, degrees): 6.842 6.842 6.842 150.42 155.57 38.72
Fractional coordinates of all 4 atoms:
Be 0.546 0.546 0.000
Ir 0.985 0.985 0.000
Ir 0.654 0.154 0.500
Br 0.315 0.815 0.500